# ZnBiS2N meta-GGA SCAN PBEsol geometry
# * electronic total energy: -23.6084 eV/atom
# * DOS(E_F): 1.13 states/eV/cell
# * magnetic moment: 2.0 μB per cell
# * formation energy (no corrections): 0.520 eV per atom
data_ZnBiS2N
_symmetry_space_group_name_H-M 'P 4/m m m'
_symmetry_Int_Tables_number 123
_symmetry_space_group_name_Hall '-P 4 2'
_cell_length_a 4.843
_cell_length_b 4.843
_cell_length_c 3.757
_cell_angle_alpha 90.00
_cell_angle_beta 90.00
_cell_angle_gamma 90.00
loop_
_atom_site_label
_atom_site_type_symbol
_atom_site_fract_x
_atom_site_fract_y
_atom_site_fract_z
Zn1 Zn 0.000 0.000 0.000
Bi1 Bi 0.500 0.500 0.500
S1 S 0.000 0.500 0.000
N1 N 0.000 0.000 0.500

# BiSb2N meta-GGA SCAN PBEsol geometry
# * electronic total energy: -39.9800 eV/atom
# * DOS(E_F): 7.52 states/eV/cell
# * magnetic moment: 0.0 μB per cell
# * formation energy (no corrections): 0.618 eV per atom
data_BiSb2N
_symmetry_space_group_name_H-M 'I -4 2 d'
_symmetry_Int_Tables_number 122
_symmetry_space_group_name_Hall 'I -4 2bw'
_cell_length_a 5.873
_cell_length_b 5.873
_cell_length_c 12.478
_cell_angle_alpha 90.00
_cell_angle_beta 90.00
_cell_angle_gamma 90.00
loop_
_atom_site_label
_atom_site_type_symbol
_atom_site_fract_x
_atom_site_fract_y
_atom_site_fract_z
Bi1 Bi 0.000 0.000 0.000
Sb1 Sb 0.127 0.250 0.625
N1 N 0.000 0.000 0.500